LiCrIr | PBE | relaxed

Cell lengths 7.0810, 6.8687, 2.6110 Å; angles 83.83, 74.67, 21.51 degrees
Last column: nearest neighbours and their distance in Å.
Atoms (fractional coordinates):
1 Li 0.0000 0.0000 0.0000  6 Li 2.61-2.78, 2 Ir 2.66, 2 Cr 2.75
2 Cr 0.6762 0.6762 0.3238  2 Ir 2.51, 6 Cr 2.61-2.78, 2 Li 2.75
3 Ir 0.3312 0.3312 0.6688  2 Cr 2.51, 6 Ir 2.61-2.78, 2 Li 2.66

Computed properties:
ΔH_f (0 K) ... 0.204 eV per atom
D(E_F) ... 3.6 states/eV/f.u.
Total energy ... -6.60 eV per atom
SG ... Fmm2, No. 42
Energy relative to the lowest polymorph listed for this composition ... 165.5 meV per atom